Record 1
K2CaW | PBE | relaxed

The value obtained for the excess energy over the best structure of this formula in the dataset is 0.000 eV/atom. Its theoretical density is 3.725 g/cm³. The energy of formation from the pure elements comes out at 1.08 eV per atom.

The space group is P4mm (No. 99) and the conventional cell measures 3.208, 3.208 and 13.089 Å, with angles of 90.00, 90.00 and 90.00 degrees. The asymmetric unit holds K at (0.000, 0.000, 0.000), K at (0.500, 0.500, 0.324), Ca at (0.500, 0.500, 0.707) and W at (0.000, 0.000, 0.542).

Record 2
LiCr2As | PBE | relaxed

Its theoretical density is 5.554 g/cm³. The energy of formation from the pure elements comes out at 0.54 eV per atom.

The space group is R-3m (No. 166, hexagonal axes) and the conventional cell measures 2.7407, 2.7407 and 25.6274 Å, with angles of 90.00, 90.00 and 120.00 degrees. The asymmetric unit holds Li at (0.0000, 0.0000, 0.0000), Cr at (0.0000, 0.0000, 0.2426) and As at (0.0000, 0.0000, 0.5000).

Record 3
Ce2PrSi | PBE | relaxed

The value obtained for the excess energy over the best structure of this formula in the dataset is 0.375 eV/atom. The formation energy (no corrections) comes out at 0.2 eV per formula unit. Its theoretical density is 5.980 g/cm³.

The space group is R-3m (No. 166, hexagonal axes) and the conventional cell measures 3.7600, 3.7600 and 30.5657 Å, with angles of 90.00, 90.00 and 120.00 degrees. The asymmetric unit holds Ce at (0.0000, 0.0000, 0.1071), Pr at (0.0000, 0.0000, 0.0000) and Si at (0.0000, 0.0000, 0.5000).

Record 4
Ac6TlNi2Br3 | PBE | relaxed

The formation energy (no corrections) comes out at -9.5 eV per formula unit. Its theoretical density is 7.573 g/cm³.

The space group is C2/m (No. 12) and the conventional cell measures 20.655, 4.352 and 9.780 Å, with angles of 90.00, 106.37 and 90.00 degrees. The asymmetric unit holds Ac at (0.020, 0.000, 0.262), Ac at (0.166, 0.500, 0.133), Ac at (0.180, 0.500, 0.555), Tl at (0.000, 0.500, 0.000), Ni at (0.171, 0.000, 0.343), Br at (0.000, 0.500, 0.500) and Br at (0.162, 0.000, 0.836).

Record 5
TiPN3 | PBE | relaxed

The formation energy (no corrections) comes out at -2.7 eV per formula unit. Its theoretical density is 3.768 g/cm³.

The space group is R-3c (No. 167, hexagonal axes) and the conventional cell measures 4.9757, 4.9757 and 14.9036 Å, with angles of 90.00, 90.00 and 120.00 degrees. The asymmetric unit holds Ti at (0.0000, 0.0000, 0.0000), P at (0.0000, 0.0000, 0.2500) and N at (0.0000, 0.3191, 0.2500).

Record 6
SbPO2 | PBE | relaxed

The value obtained for the excess energy over the best structure of this formula in the dataset is 0.728 eV/atom. The formation energy (no corrections) comes out at 0.9 eV per formula unit. Its theoretical density is 5.940 g/cm³.

The space group is Fm-3m (No. 225) and the conventional cell measures 5.911, 5.911 and 5.911 Å, with angles of 90.00, 90.00 and 90.00 degrees. The asymmetric unit holds Sb at (0.000, 0.000, 0.000), P at (0.000, 0.000, 0.500) and O at (0.250, 0.250, 0.250).

Record 7
Ho2PbSe | PBE | relaxed

The value obtained for the excess energy over the best structure of this formula in the dataset is 0.152 eV/atom. The formation energy (no corrections) comes out at -3.7 eV per formula unit. Its theoretical density is 10.248 g/cm³.

The space group is P4/mmm (No. 123) and the conventional cell measures 3.531, 3.531 and 8.005 Å, with angles of 90.00, 90.00 and 90.00 degrees. The asymmetric unit holds Ho at (0.000, 0.000, 0.224), Pb at (0.500, 0.500, 0.500) and Se at (0.500, 0.500, 0.000).

Record 8
LiTaCdO4 | PBE | relaxed

The formation energy (no corrections) comes out at -15.1 eV per formula unit. Its theoretical density is 6.692 g/cm³.

The space group is Imma (No. 74) and the conventional cell measures 6.119, 6.259 and 9.441 Å, with angles of 90.00, 90.00 and 90.00 degrees. The asymmetric unit holds Li at (0.250, 0.250, 0.250), Ta at (0.000, 0.000, 0.000), Cd at (0.000, 0.250, 0.652), O at (0.000, 0.021, 0.206) and O at (0.217, 0.250, 0.999).

Number 1: D(E_F) 4.7 states/eV/cell. Number 2: D(E_F) 13.7 states/eV/cell. Number 3: D(E_F) 26.6 states/eV/cell. Number 4: D(E_F) 15.5 states/eV/cell. Number 5: D(E_F) 0.0 states/eV/cell. Number 6: D(E_F) 10.8 states/eV/cell. Number 7: D(E_F) 3.5 states/eV/cell. Number 8: D(E_F) 0.0 states/eV/cell.